Computed, not measured: crystalline Mn2V2Cl2O5 at its relaxed geometry at the GGA+U level of DFT.

Structure (extended XYZ):
```
11
Lattice="-1.863 1.863 12.553 1.863 -1.863 12.553 1.863 1.863 -12.553" Properties=species:S:1:pos:R:3 pbc="T T T"
Mn 0.000 0.000 3.547
Mn 0.000 0.000 21.558
V 0.000 0.000 10.774
V 0.000 0.000 14.331
Cl 0.000 0.000 7.783
Cl 0.000 0.000 17.323
O 1.863 0.000 2.263
O 1.863 0.000 10.290
O 0.000 0.000 12.553
O 0.000 1.863 2.263
O 0.000 1.863 10.290
```

Density ... 3.457 g cm⁻³
Raw total energy ... -6.9245 eV/atom
Crystal system ... tetragonal